# Th2TlAg3 GGA-PBE optimized geometry
data_Th2TlAg3
_cell_length_a 3.4405
_cell_length_b 4.9481
_cell_length_c 17.8493
_cell_angle_alpha 90.00
_cell_angle_beta 90.00
_cell_angle_gamma 90.00
_space_group_name_H-M_alt 'I m m 2'
_space_group_IT_number 44
loop_
_space_group_symop_operation_xyz
'x,y,z'
'-x,-y,z'
'-x,y,z'
'x,-y,z'
'x+1/2,y+1/2,z+1/2'
'-x+1/2,-y+1/2,z+1/2'
'-x+1/2,y+1/2,z+1/2'
'x+1/2,-y+1/2,z+1/2'
loop_
_atom_site_label
_atom_site_type_symbol
_atom_site_fract_x
_atom_site_fract_y
_atom_site_fract_z
Th1 Th 0.0000 0.0000 0.0000
Th2 Th 0.0000 0.5000 0.2684
Tl1 Tl 0.0000 0.0000 0.5989
Ag1 Ag 0.0000 0.0000 0.4399
Ag2 Ag 0.0000 0.5000 0.6725
Ag3 Ag 0.0000 0.5000 0.8250
# Crystal system   orthorhombic
# DFT total energy   -4.285 eV/atom
# ρ   10.8 g cm⁻³
# Spin magnetization   0.0 μB/f.u.
# Formation enthalpy at 0 K   0.0078 eV per atom